# GdZr2Si2 | OQMD | PBE-GGA | optimized geometry
data_GdZr2Si2
_cell_length_a 7.4107
_cell_length_b 7.4107
_cell_length_c 3.6582
_cell_angle_alpha 90.00
_cell_angle_beta 90.00
_cell_angle_gamma 90.00
_symmetry_space_group_name_H-M 'P 1'
_symmetry_Int_Tables_number 1
loop_
_symmetry_equiv_pos_as_xyz
'x,y,z'
loop_
_atom_site_label
_atom_site_type_symbol
_atom_site_fract_x
_atom_site_fract_y
_atom_site_fract_z
Gd1 Gd 0.0000 0.0000 0.0000
Gd2 Gd 0.5000 0.5000 0.0000
Zr1 Zr 0.1726 0.3274 0.5000
Zr2 Zr 0.3274 0.8274 0.5000
Zr3 Zr 0.6726 0.1726 0.5000
Zr4 Zr 0.8274 0.6726 0.5000
Si1 Si 0.1181 0.6181 0.0000
Si2 Si 0.3819 0.1181 0.0000
Si3 Si 0.6181 0.8819 0.0000
Si4 Si 0.8819 0.3819 0.0000
# total energy = -7.2453 eV per atom

=====

# LaPrNd2Zn12Ge6 | OQMD | PBE-GGA | optimized geometry
data_LaPrNd2Zn12Ge6
_cell_length_a 7.6864
_cell_length_b 4.1222
_cell_length_c 13.3152
_cell_angle_alpha 90.00
_cell_angle_beta 90.00
_cell_angle_gamma 90.00
_symmetry_space_group_name_H-M 'P 1'
_symmetry_Int_Tables_number 1
loop_
_symmetry_equiv_pos_as_xyz
'x,y,z'
loop_
_atom_site_label
_atom_site_type_symbol
_atom_site_fract_x
_atom_site_fract_y
_atom_site_fract_z
La1 La 0.0000 0.0000 0.0000
Pr1 Pr 0.9997 0.0000 0.3340
Nd1 Nd 0.5003 0.0000 0.5002
Nd2 Nd 0.5005 0.0000 0.8329
Zn1 Zn 0.1454 0.5000 0.5220
Zn2 Zn 0.1458 0.5000 0.8109
Zn3 Zn 0.1892 0.0000 0.6669
Zn4 Zn 0.2112 0.5000 0.1673
Zn5 Zn 0.4057 0.0000 0.2614
Zn6 Zn 0.4079 0.0000 0.0718
Zn7 Zn 0.6443 0.5000 0.0217
Zn8 Zn 0.6446 0.5000 0.3121
Zn9 Zn 0.6888 0.0000 0.1676
Zn10 Zn 0.7095 0.5000 0.6665
Zn11 Zn 0.9042 0.0000 0.7605
Zn12 Zn 0.9050 0.0000 0.5723
Ge1 Ge 0.3102 0.5000 0.3578
Ge2 Ge 0.3111 0.5000 0.9760
Ge3 Ge 0.3815 0.5000 0.6666
Ge4 Ge 0.8087 0.5000 0.4765
Ge5 Ge 0.8088 0.5000 0.8564
Ge6 Ge 0.8802 0.5000 0.1671
# total energy = -3.2563 eV per atom

=====

# GaCoTc2 | OQMD | PBE-GGA | optimized geometry
data_GaCoTc2
_cell_length_a 4.2617
_cell_length_b 4.2617
_cell_length_c 4.2617
_cell_angle_alpha 60.00
_cell_angle_beta 60.00
_cell_angle_gamma 60.00
_symmetry_space_group_name_H-M 'P 1'
_symmetry_Int_Tables_number 1
loop_
_symmetry_equiv_pos_as_xyz
'x,y,z'
loop_
_atom_site_label
_atom_site_type_symbol
_atom_site_fract_x
_atom_site_fract_y
_atom_site_fract_z
Ga1 Ga 0.0000 0.0000 0.0000
Co1 Co 0.2500 0.2500 0.2500
Tc1 Tc 0.5000 0.5000 0.5000
Tc2 Tc 0.7500 0.7500 0.7500
# total energy = -7.7234 eV per atom

=====

# SmBeAsO | OQMD | PBE-GGA | optimized geometry
data_SmBeAsO
_cell_length_a 3.8268
_cell_length_b 3.8268
_cell_length_c 9.8702
_cell_angle_alpha 90.00
_cell_angle_beta 90.00
_cell_angle_gamma 90.00
_symmetry_space_group_name_H-M 'P 1'
_symmetry_Int_Tables_number 1
loop_
_symmetry_equiv_pos_as_xyz
'x,y,z'
loop_
_atom_site_label
_atom_site_type_symbol
_atom_site_fract_x
_atom_site_fract_y
_atom_site_fract_z
Sm1 Sm 0.2500 0.7500 0.0000
Sm2 Sm 0.7500 0.2500 0.0000
Be1 Be 0.2500 0.2500 0.4895
Be2 Be 0.7500 0.7500 0.5105
As1 As 0.2500 0.2500 0.2270
As2 As 0.7500 0.7500 0.7730
O1 O 0.2500 0.7500 0.5000
O2 O 0.7500 0.2500 0.5000
# energy above the most stable polymorph in this dataset = 1.396 eV/atom

=====

# Er2TmSi4Ni4 | OQMD | PBE-GGA | optimized geometry
data_Er2TmSi4Ni4
_cell_length_a 7.6286
_cell_length_b 7.6286
_cell_length_c 7.6286
_cell_angle_alpha 149.56
_cell_angle_beta 129.27
_cell_angle_gamma 60.33
_symmetry_space_group_name_H-M 'P 1'
_symmetry_Int_Tables_number 1
loop_
_symmetry_equiv_pos_as_xyz
'x,y,z'
loop_
_atom_site_label
_atom_site_type_symbol
_atom_site_fract_x
_atom_site_fract_y
_atom_site_fract_z
Er1 Er 0.1286 0.1286 0.0000
Er2 Er 0.8714 0.8714 0.0000
Tm1 Tm 0.5000 0.0000 0.5000
Si1 Si 0.1884 0.5000 0.6884
Si2 Si 0.2822 0.7822 0.5000
Si3 Si 0.7178 0.2178 0.5000
Si4 Si 0.8116 0.5000 0.3116
Ni1 Ni 0.1282 0.3239 0.8043
Ni2 Ni 0.4804 0.6761 0.8043
Ni3 Ni 0.5196 0.3239 0.1957
Ni4 Ni 0.8718 0.6761 0.1957
# total energy = -6.0349 eV per atom

=====

# RbGdZnS3 | OQMD | PBE-GGA | optimized geometry
data_RbGdZnS3
_cell_length_a 9.0603
_cell_length_b 9.0603
_cell_length_c 8.6109
_cell_angle_alpha 101.51
_cell_angle_beta 101.51
_cell_angle_gamma 26.33
_symmetry_space_group_name_H-M 'P 1'
_symmetry_Int_Tables_number 1
loop_
_symmetry_equiv_pos_as_xyz
'x,y,z'
loop_
_atom_site_label
_atom_site_type_symbol
_atom_site_fract_x
_atom_site_fract_y
_atom_site_fract_z
Rb1 Rb 0.1472 0.1472 0.0671
Rb2 Rb 0.8528 0.8528 0.9329
Gd1 Gd 0.1655 0.1655 0.5656
Gd2 Gd 0.8345 0.8345 0.4344
Zn1 Zn 0.4759 0.4759 0.2592
Zn2 Zn 0.5241 0.5241 0.7408
S1 S 0.0000 0.0000 0.5000
S2 S 0.3248 0.3248 0.6382
S3 S 0.3427 0.3427 0.2242
S4 S 0.5000 0.5000 0.0000
S5 S 0.6573 0.6573 0.7758
S6 S 0.6752 0.6752 0.3618
# total energy = -4.5198 eV per atom

=====

# NaZrTe3Au | OQMD | PBE-GGA | optimized geometry
data_NaZrTe3Au
_cell_length_a 11.5232
_cell_length_b 4.1028
_cell_length_c 14.5033
_cell_angle_alpha 90.00
_cell_angle_beta 90.00
_cell_angle_gamma 90.00
_symmetry_space_group_name_H-M 'P 1'
_symmetry_Int_Tables_number 1
loop_
_symmetry_equiv_pos_as_xyz
'x,y,z'
loop_
_atom_site_label
_atom_site_type_symbol
_atom_site_fract_x
_atom_site_fract_y
_atom_site_fract_z
Na1 Na 0.2248 0.2500 0.0248
Na2 Na 0.2752 0.7500 0.5248
Na3 Na 0.7248 0.2500 0.4752
Na4 Na 0.7752 0.7500 0.9752
Zr1 Zr 0.0555 0.7500 0.7530
Zr2 Zr 0.4445 0.2500 0.2530
Zr3 Zr 0.5555 0.7500 0.7470
Zr4 Zr 0.9445 0.2500 0.2470
Te1 Te 0.0296 0.7500 0.1173
Te2 Te 0.0572 0.2500 0.6077
Te3 Te 0.2248 0.2500 0.3389
Te4 Te 0.2752 0.7500 0.8389
Te5 Te 0.4428 0.7500 0.1077
Te6 Te 0.4704 0.2500 0.6173
Te7 Te 0.5296 0.7500 0.3827
Te8 Te 0.5572 0.2500 0.8923
Te9 Te 0.7248 0.2500 0.1611
Te10 Te 0.7752 0.7500 0.6611
Te11 Te 0.9428 0.7500 0.3923
Te12 Te 0.9704 0.2500 0.8827
Au1 Au 0.2425 0.7500 0.2052
Au2 Au 0.2575 0.2500 0.7052
Au3 Au 0.7425 0.7500 0.2948
Au4 Au 0.7575 0.2500 0.7948
# energy above the most stable polymorph in this dataset = 0.023 eV/atom

=====

# Li4TbPaO6 | OQMD | PBE-GGA | optimized geometry
data_Li4TbPaO6
_cell_length_a 5.6540
_cell_length_b 5.6540
_cell_length_c 5.3016
_cell_angle_alpha 99.92
_cell_angle_beta 99.92
_cell_angle_gamma 120.13
_symmetry_space_group_name_H-M 'P 1'
_symmetry_Int_Tables_number 1
loop_
_symmetry_equiv_pos_as_xyz
'x,y,z'
loop_
_atom_site_label
_atom_site_type_symbol
_atom_site_fract_x
_atom_site_fract_y
_atom_site_fract_z
Li1 Li 0.0000 0.0000 0.0000
Li2 Li 0.1406 0.8594 0.5000
Li3 Li 0.4931 0.5069 0.5000
Li4 Li 0.8646 0.1354 0.5000
Tb1 Tb 0.3311 0.6689 0.0000
Pa1 Pa 0.6667 0.3333 0.0000
O1 O 0.0709 0.4129 0.2439
O2 O 0.2610 0.2562 0.7488
O3 O 0.4150 0.0892 0.2366
O4 O 0.5871 0.9291 0.7561
O5 O 0.7438 0.7390 0.2512
O6 O 0.9108 0.5850 0.7634
# total energy = -6.7953 eV per atom